(1)
Computed, not measured: an optimized crystal structure of KNaLi2Pd at the GGA-PBE level of DFT.

The value obtained for the density is 2.10 Mg/m³. The total energy comes out at -2.318 eV/atom. The value obtained for the calculated formation energy is -0.030 eV/atom. Its volume is 28.80 Å³ per atom. For the energy above the most stable polymorph in this dataset, the calculation gives 0.0 kJ per mole of atoms.

extended XYZ file:
```
5
Lattice="5.059 0.000 0.000 0.000 5.059 0.000 0.000 0.000 5.625" Properties=species:S:1:pos:R:3 pbc="T T T"
Pd 0.000 0.000 0.000
Li 0.000 2.530 0.000
Li 2.530 0.000 0.000
Na 0.000 0.000 2.813
K 2.530 2.530 2.813
```

(2)
Computed, not measured: an optimized crystal structure of KNa2LiPt at the GGA-PBE level of DFT.

The value obtained for the density is 3.01 Mg/m³. The total energy comes out at -2.376 eV/atom. The value obtained for the calculated formation energy is -0.038 eV/atom. Its volume is 31.64 Å³ per atom.

extended XYZ file:
```
5
Lattice="5.644 0.000 0.000 0.000 5.644 0.000 0.000 0.000 4.965" Properties=species:S:1:pos:R:3 pbc="T T T"
Na 0.000 2.822 0.000
Na 2.822 0.000 0.000
Pt 0.000 0.000 0.000
Li 0.000 0.000 2.483
K 2.822 2.822 2.483
```

(3)
Computed, not measured: an optimized crystal structure of K2NaLiS at the GGA-PBE level of DFT.

The value obtained for the density is 1.22 Mg/m³. The total energy comes out at -2.356 eV/atom. Its volume is 38.05 Å³ per atom. For the energy above the most stable polymorph in this dataset, the calculation gives 13.0 kJ per mole of atoms. For the uncorrected formation energy, the calculation gives -0.445 eV per atom.

extended XYZ file:
```
5
Lattice="-2.105 -1.108 6.177 -0.153 -4.262 -0.816 6.271 -0.613 2.027" Properties=species:S:1:pos:R:3 pbc="T T T"
K 3.136 -0.307 1.014
K -1.052 -0.554 3.089
Li 0.000 0.000 0.000
Na 2.007 -2.991 3.694
S -0.076 -2.131 -0.408
```

Spin magnetization (computed, μB/f.u.): 0.00, 0.00, 0.00